[1]
# TiIn2TcH

A geometry-optimized TiIn2TcH structure (PBE-GGA, Alexandria).

DOS at the Fermi energy = 2.781 states/eV per cell

a b c (Å): 5.325 5.325 3.210
angles (deg): 90.00 90.00 90.00
Space group P4/mmm (No. 123)
Asymmetric unit:
Ti (0.000, 0.000, 0.000) (multiplicity 1)
In (0.000, 0.500, 0.000) (multiplicity 2)
Tc (0.500, 0.500, 0.500) (multiplicity 1)
H (0.000, 0.000, 0.500) (multiplicity 1)


[2]
# LaAlHg2H

A geometry-optimized LaAlHg2H structure (PBE-GGA, Alexandria).

DOS at the Fermi energy = 4.879 states/eV per cell
Relative energy among the computed polymorphs = 547.0 meV/atom

a b c (Å): 6.105 6.105 4.152
angles (deg): 90.00 90.00 90.00
Space group P4/mmm (No. 123)
Asymmetric unit:
La (0.000, 0.000, 0.000) (multiplicity 1)
Al (0.500, 0.500, 0.500) (multiplicity 1)
Hg (0.000, 0.500, 0.000) (multiplicity 2)
H (0.000, 0.000, 0.500) (multiplicity 1)


[3]
# Al3GaP4

A geometry-optimized Al3GaP4 structure (PBE-GGA, Alexandria).

Energy of formation = -28.5 kJ/mol of atoms

a b c (Å): 5.595 5.595 5.595
angles (deg): 90.00 90.00 90.00
Space group P-43m (No. 215)
Asymmetric unit:
Al (0.000, 0.000, 0.500) (multiplicity 3)
Ga (0.000, 0.000, 0.000) (multiplicity 1)
P (0.251, 0.251, 0.251) (multiplicity 4)


These records have E_tot values of -4.7524 -2.1514 -4.7825 eV/atom, in the order they appear.
These records have calculated volume values of 18.20 30.95 21.90 A^3/atom, in the order they appear.